# Sr2LiZn SCAN PBEsol geometry
# - Volume: 125.1 Å³ per cell
# - Crystal system: tetragonal
# - Energy: -60.7 eV/f.u.
# - Total magnetization: 0.1 μB per cell
data_Sr2LiZn
_chemical_formula_sum 'Sr2 Li1 Zn1'
_space_group_name_H-M_alt 'P 1'
_space_group_IT_number 1
_cell_length_a 3.842
_cell_length_b 3.842
_cell_length_c 8.479
_cell_angle_alpha 90.00
_cell_angle_beta 90.00
_cell_angle_gamma 90.00
loop_
_space_group_symop_operation_xyz
'x,y,z'
loop_
_atom_site_label
_atom_site_type_symbol
_atom_site_fract_x
_atom_site_fract_y
_atom_site_fract_z
Sr1 Sr 0.000 0.000 0.000
Sr2 Sr 0.500 0.500 0.381
Li1 Li 0.500 0.500 0.741
Zn1 Zn 0.000 0.000 0.609

# LaCu2Hg SCAN PBEsol geometry
# - Volume: 80.9 Å³ per cell
# - Crystal system: tetragonal
# - Energy: -141.4 eV/f.u.
# - Total magnetization: 0.0 μB per cell
data_LaCu2Hg
_chemical_formula_sum 'La1 Cu2 Hg1'
_space_group_name_H-M_alt 'P 1'
_space_group_IT_number 1
_cell_length_a 4.602
_cell_length_b 4.602
_cell_length_c 3.819
_cell_angle_alpha 90.00
_cell_angle_beta 90.00
_cell_angle_gamma 90.00
loop_
_space_group_symop_operation_xyz
'x,y,z'
loop_
_atom_site_label
_atom_site_type_symbol
_atom_site_fract_x
_atom_site_fract_y
_atom_site_fract_z
La1 La 0.000 0.000 0.000
Cu1 Cu 0.000 0.500 0.500
Cu2 Cu 0.500 0.000 0.500
Hg1 Hg 0.500 0.500 0.000

# HgAs2Pb SCAN PBEsol geometry
# - Volume: 90.4 Å³ per cell
# - Crystal system: monoclinic
# - Energy: -182.8 eV/f.u.
# - Total magnetization: 0.0 μB per cell
# - ΔE to the lowest computed polymorph: 1.270 eV per formula unit
data_HgAs2Pb
_chemical_formula_sum 'Hg1 As2 Pb1'
_space_group_name_H-M_alt 'P 1'
_space_group_IT_number 1
_cell_length_a 5.679
_cell_length_b 5.679
_cell_length_c 3.179
_cell_angle_alpha 97.76
_cell_angle_beta 97.76
_cell_angle_gamma 114.40
loop_
_space_group_symop_operation_xyz
'x,y,z'
loop_
_atom_site_label
_atom_site_type_symbol
_atom_site_fract_x
_atom_site_fract_y
_atom_site_fract_z
Hg1 Hg 0.000 0.000 0.000
As1 As 0.000 0.500 0.500
As2 As 0.500 0.000 0.500
Pb1 Pb 0.500 0.500 0.000

# TcIrPt SCAN PBEsol geometry
# - Volume: 42.9 Å³ per cell
# - Crystal system: trigonal
# - Energy: -176.8 eV/f.u.
# - Total magnetization: 0.0 μB per cell
# - ΔE to the lowest computed polymorph: 0.264 eV per formula unit
data_TcIrPt
_chemical_formula_sum 'Tc1 Ir1 Pt1'
_space_group_name_H-M_alt 'P 1'
_space_group_IT_number 1
_cell_length_a 2.717
_cell_length_b 2.717
_cell_length_c 6.706
_cell_angle_alpha 90.00
_cell_angle_beta 90.00
_cell_angle_gamma 120.00
loop_
_space_group_symop_operation_xyz
'x,y,z'
loop_
_atom_site_label
_atom_site_type_symbol
_atom_site_fract_x
_atom_site_fract_y
_atom_site_fract_z
Tc1 Tc 0.000 0.000 0.000
Ir1 Ir 0.333 0.667 0.687
Pt1 Pt 0.667 0.333 0.335

# GeSbH2Au SCAN PBEsol geometry
# - Volume: 76.9 Å³ per cell
# - Crystal system: tetragonal
# - Energy: -130.5 eV/f.u.
# - Total magnetization: 0.0 μB per cell
data_GeSbH2Au
_chemical_formula_sum 'Ge1 Sb1 H2 Au1'
_space_group_name_H-M_alt 'P 1'
_space_group_IT_number 1
_cell_length_a 3.794
_cell_length_b 3.794
_cell_length_c 5.340
_cell_angle_alpha 90.00
_cell_angle_beta 90.00
_cell_angle_gamma 90.00
loop_
_space_group_symop_operation_xyz
'x,y,z'
loop_
_atom_site_label
_atom_site_type_symbol
_atom_site_fract_x
_atom_site_fract_y
_atom_site_fract_z
Ge1 Ge 0.000 0.000 0.000
Sb1 Sb 0.500 0.500 0.000
H1 H 0.000 0.500 0.500
H2 H 0.500 0.000 0.500
Au1 Au 0.000 0.000 0.500

# CsSn2Te2 SCAN PBEsol geometry
# - Volume: 183.0 Å³ per cell
# - Crystal system: tetragonal
# - Energy: -186.4 eV/f.u.
# - Total magnetization: 0.0 μB per cell
# - ΔE to the lowest computed polymorph: 0.000 eV per formula unit
# - Energy relative to the elements, uncorrected: -0.4539 eV/atom
data_CsSn2Te2
_chemical_formula_sum 'Cs1 Sn2 Te2'
_space_group_name_H-M_alt 'P 1'
_space_group_IT_number 1
_cell_length_a 6.798
_cell_length_b 6.798
_cell_length_c 6.798
_cell_angle_alpha 129.36
_cell_angle_beta 129.36
_cell_angle_gamma 74.44
loop_
_space_group_symop_operation_xyz
'x,y,z'
loop_
_atom_site_label
_atom_site_type_symbol
_atom_site_fract_x
_atom_site_fract_y
_atom_site_fract_z
Cs1 Cs 0.000 0.000 0.000
Sn1 Sn 0.351 0.351 0.000
Sn2 Sn 0.649 0.649 0.000
Te1 Te 0.250 0.750 0.500
Te2 Te 0.750 0.250 0.500

# MgAlTl2Cu SCAN PBEsol geometry
# - Volume: 143.6 Å³ per cell
# - Crystal system: tetragonal
# - Energy: -168.3 eV/f.u.
# - Total magnetization: 0.0 μB per cell
data_MgAlTl2Cu
_chemical_formula_sum 'Mg1 Al1 Tl2 Cu1'
_space_group_name_H-M_alt 'P 1'
_space_group_IT_number 1
_cell_length_a 5.312
_cell_length_b 5.312
_cell_length_c 5.089
_cell_angle_alpha 90.00
_cell_angle_beta 90.00
_cell_angle_gamma 90.00
loop_
_space_group_symop_operation_xyz
'x,y,z'
loop_
_atom_site_label
_atom_site_type_symbol
_atom_site_fract_x
_atom_site_fract_y
_atom_site_fract_z
Mg1 Mg 0.000 0.000 0.000
Al1 Al 0.000 0.000 0.500
Tl1 Tl 0.000 0.500 0.000
Tl2 Tl 0.500 0.000 0.000
Cu1 Cu 0.500 0.500 0.500

# AuI SCAN PBEsol geometry
# - Volume: 248.1 Å³ per cell
# - Crystal system: tetragonal
# - Energy: -106.0 eV/f.u.
# - Total magnetization: 0.0 μB per cell
# - Energy relative to the elements, uncorrected: -0.0494 eV/atom
data_AuI
_chemical_formula_sum 'Au4 I4'
_space_group_name_H-M_alt 'P 1'
_space_group_IT_number 1
_cell_length_a 4.196
_cell_length_b 4.196
_cell_length_c 14.094
_cell_angle_alpha 90.00
_cell_angle_beta 90.00
_cell_angle_gamma 90.00
loop_
_space_group_symop_operation_xyz
'x,y,z'
loop_
_atom_site_label
_atom_site_type_symbol
_atom_site_fract_x
_atom_site_fract_y
_atom_site_fract_z
Au1 Au 0.000 0.000 0.000
Au2 Au 0.000 0.500 0.500
Au3 Au 0.500 0.000 0.500
Au4 Au 0.500 0.500 0.000
I1 I 0.250 0.250 0.153
I2 I 0.250 0.250 0.653
I3 I 0.750 0.750 0.347
I4 I 0.750 0.750 0.847